DFT (PBE-GGA) results for a geometry-optimized CrRe2Ir structure.

```
CrRe2Ir
1.0
-0.386 1.789 -2.022
-2.697 -0.351 0.203
-0.355 5.656 5.071
Cr Ir Re
1 1 2
Direct
0.000 0.000 0.501
0.500 0.500 0.737
0.000 0.000 0.001
0.500 0.500 0.260
```

Summary:
ΔE to the lowest computed polymorph	46	meV per atom
formation energy	-0.5	kJ/mol of formula units
calculated volume	57	Å³ per cell
Fermi-level density of states	3.18	states/eV/cell